No. 1
DFT (GGA-PBE) results for crystalline Pr6Nd3Sm2Cd at its relaxed geometry.

The space group is C2/m (No. 12) and the conventional cell measures 6.320, 10.968 and 12.029 Å, with angles of 90.00, 100.23 and 90.00 degrees. The distinct sites, in fractional coordinates, are Pr at (0.244, 0.164, 0.245), Pr at (0.247, 0.000, 0.753), Nd at (0.000, 0.167, 0.500), Nd at (0.000, 0.500, 0.500), Sm at (0.000, 0.333, 0.000) and Cd at (0.000, 0.000, 0.000).



No. 2
DFT (GGA-PBE) results for crystalline AcPuAl2 at its relaxed geometry.

The space group is Fm-3m (No. 225) and the conventional cell measures 7.566, 7.566 and 7.566 Å, with angles of 90.00, 90.00 and 90.00 degrees. The distinct sites, in fractional coordinates, are Ac at (0.000, 0.000, 0.000), Pu at (0.000, 0.000, 0.500) and Al at (0.250, 0.250, 0.250).



No. 3
DFT (GGA-PBE) results for crystalline TlCdPb2 at its relaxed geometry.

The space group is F-43m (No. 216) and the conventional cell measures 7.800, 7.800 and 7.800 Å, with angles of 90.00, 90.00 and 90.00 degrees. The distinct sites, in fractional coordinates, are Tl at (0.000, 0.000, 0.000), Cd at (0.250, 0.250, 0.250), Pb at (0.000, 0.000, 0.500) and Pb at (0.250, 0.250, 0.750).



No. 4
DFT (GGA-PBE) results for crystalline Tl2IrW at its relaxed geometry.

The space group is Pmmm (No. 47) and the conventional cell measures 3.078, 3.744 and 6.549 Å, with angles of 90.00, 90.00 and 90.00 degrees. The distinct sites, in fractional coordinates, are Tl at (0.000, 0.000, 0.241), Ir at (0.500, 0.500, 0.000) and W at (0.500, 0.500, 0.500).



No. 5
DFT (GGA-PBE) results for crystalline NpTi2Pd at its relaxed geometry.

The space group is P4/mmm (No. 123) and the conventional cell measures 3.075, 3.075 and 7.487 Å, with angles of 90.00, 90.00 and 90.00 degrees. The distinct sites, in fractional coordinates, are Np at (0.000, 0.000, 0.000), Ti at (0.500, 0.500, 0.275) and Pd at (0.000, 0.000, 0.500).



No. 6
DFT (GGA-PBE) results for crystalline NdDy2Er3 at its relaxed geometry.

The space group is C2/c (No. 15) and the conventional cell measures 8.935, 9.722 and 8.918 Å, with angles of 90.00, 102.56 and 90.00 degrees. The distinct sites, in fractional coordinates, are Nd at (0.000, 0.095, 0.250), Dy at (0.124, 0.252, 0.625), Er at (0.000, 0.427, 0.250) and Er at (0.244, 0.083, 0.994).



It is found that the energy relative to the elements values, taken in the order of the records, are 0.00, -0.07, 0.04, 1.02, -0.09, 0.07 eV/atom.
It is found that the raw total energy values, taken in the order of the records, are -0.163, -0.241, -0.097, -0.206, -0.315, -0.167 Ha/atom.